Tb2NdIn3Ni3 | GGA-PBE | relaxed

The structure belongs to space group Amm2 (No. 38); the cell edges are 3.840, 12.981 and 7.526 Å and the angles 90.00°, 90.00° and 90.00°. The inequivalent atoms are Tb at (0.000, 0.205, 0.000), Nd at (0.000, 0.000, 0.382), In at (0.500, 0.000, 0.043), In at (0.500, 0.128, 0.671), Ni at (0.000, 0.000, 0.796) and Ni at (0.500, 0.168, 0.294).

Its total energy is -4.82 eV/atom.